Compound: SmTh2Si2
Source: the Alexandria database
Functional: PBE-GGA
Structure: relaxed

Output
formation energy without anion corrections: -0.657 eV/atom
DOS(E_F): 4.65 states/eV/f.u.
raw total energy: -67.4 eV for the cell shown

Cell: 7.764 7.764 4.230 Å, 90.00 90.00 90.00°
Sites, in units of the cell vectors:
Sm1 0.000 0.000 0.000
Sm2 0.500 0.500 0.000
Th1 0.180 0.320 0.500
Th2 0.320 0.820 0.500
Th3 0.680 0.180 0.500
Th4 0.820 0.680 0.500
Si1 0.114 0.614 0.000
Si2 0.386 0.114 0.000
Si3 0.614 0.886 0.000
Si4 0.886 0.386 0.000